# LiPmNi | Alexandria via LeMat-Bulk | PBE-GGA | relaxed
data_LiPmNi
_symmetry_space_group_name_H-M 'P 1'
_symmetry_Int_Tables_number 1
_symmetry_space_group_name_Hall 'P 1'
_cell_length_a 5.3662
_cell_length_b 5.3662
_cell_length_c 5.3662
_cell_angle_alpha 141.79
_cell_angle_beta 141.79
_cell_angle_gamma 55.14
loop_
_atom_site_label
_atom_site_fract_x
_atom_site_fract_y
_atom_site_fract_z
Li1 0.0000 0.0000 0.0000
Pm1 0.7084 0.7084 0.0000
Ni1 0.3632 0.3632 0.0000
# DFT formation energy	-0.0286	eV/atom
# energy	-4.177	eV/atom